The following is a GGA-PBE calculation of a geometry-optimized BeFe2Hg structure, from Alexandria.

Geometry as extended XYZ:
```
4
Lattice="3.610 0.000 0.000 0.000 3.609 0.000 0.000 0.000 4.061" Properties=species:S:1:pos:R:3 pbc="T T T"
Be 0.000 1.804 2.030
Hg 1.805 0.000 2.030
Fe 0.000 0.000 0.000
Fe 1.805 1.804 0.000
```

Values from the calculation:
Uncorrected energy = -19.73 eV/cell
Crystal system = tetragonal
Formation energy = 0.305 eV/atom

=====

The following is a GGA-PBE calculation of a geometry-optimized BeFe2Hg structure, from Alexandria.

Geometry as extended XYZ:
```
4
Lattice="2.135 1.028 3.526 -1.028 3.512 2.158 -1.887 -0.313 3.793" Properties=species:S:1:pos:R:3 pbc="T T T"
Be 0.000 0.000 0.000
Hg -0.390 2.113 4.739
Fe -0.195 1.057 2.369
Fe -0.584 3.170 7.108
```

Values from the calculation:
Uncorrected energy = -18.99 eV/cell
Crystal system = cubic
Formation energy = 0.492 eV/atom

=====

The following is a GGA-PBE calculation of a geometry-optimized BeFe4Hg structure, from Alexandria.

Geometry as extended XYZ:
```
6
Lattice="0.000 3.408 3.408 3.408 0.000 3.408 3.408 3.408 0.000" Properties=species:S:1:pos:R:3 pbc="T T T"
Be 0.000 0.000 0.000
Fe 2.548 4.269 4.269
Fe 4.269 4.269 2.548
Fe 4.269 2.548 4.269
Fe 2.548 2.548 2.548
Hg 5.112 5.112 5.112
```

Values from the calculation:
Uncorrected energy = -35.43 eV/cell
Crystal system = cubic
Formation energy = 0.408 eV/atom

=====

The following is a GGA-PBE calculation of a geometry-optimized BeFe2Hg structure, from Alexandria.

Geometry as extended XYZ:
```
8
Lattice="-2.197 -1.860 -2.080 2.664 -2.187 -0.858 -1.894 -7.375 5.563" Properties=species:S:1:pos:R:3 pbc="T T T"
Be 0.233 -2.023 -1.469
Be 0.502 -5.792 1.618
Hg 0.000 0.000 0.000
Hg -1.929 -5.629 1.007
Fe -1.459 -3.233 0.036
Fe 0.862 -3.490 0.542
Fe -1.178 -7.103 3.049
Fe -1.079 -9.017 1.623
```

Values from the calculation:
Uncorrected energy = -36.88 eV/cell
Crystal system = tetragonal
Formation energy = 0.628 eV/atom

=====

The following is a GGA-PBE calculation of a geometry-optimized BeFe2Hg structure, from Alexandria.

Geometry as extended XYZ:
```
4
Lattice="-1.026 4.282 -1.604 -2.480 -1.266 3.769 1.904 1.059 1.609" Properties=species:S:1:pos:R:3 pbc="T T T"
Be -0.288 -0.103 2.689
Hg 0.439 2.670 0.002
Fe 0.000 0.000 0.000
Fe -1.753 1.508 1.083
```

Values from the calculation:
Uncorrected energy = -19.27 eV/cell
Crystal system = orthorhombic
Formation energy = 0.420 eV/atom

=====

The following is a GGA-PBE calculation of a geometry-optimized BeFe2Hg structure, from Alexandria.

Geometry as extended XYZ:
```
4
Lattice="-4.356 -0.780 -0.345 -1.175 -1.088 4.140 2.248 3.582 -1.348" Properties=species:S:1:pos:R:3 pbc="T T T"
Be -2.437 0.934 0.102
Hg -2.765 -0.934 1.898
Fe 0.000 0.000 0.000
Fe -0.846 0.780 2.345
```

Values from the calculation:
Uncorrected energy = -19.48 eV/cell
Crystal system = tetragonal
Formation energy = 0.369 eV/atom